Material: LaCr2Rh
Method: DFT, GGA-PBE
State: relaxed

## Properties
**Density**: 7.83 g cm⁻³
**Total magnetization**: 0.00 μB per formula unit
**DFT total energy**: -29.9 eV per cell

Geometry as POSCAR:
```
LaCr2Rh
1.0
2.909 0.000 0.000
0.000 4.342 0.000
0.000 0.000 5.804
La Cr Rh
1 2 1
Direct
0.000 0.000 0.000
0.500 0.500 0.340
0.500 0.500 0.660
0.000 0.000 0.500
```